[1]
VASP calculation (GGA-PBE) on an optimized crystal structure of GaSn2Pd3.

As for the total magnetic moment: 0.00 μB per formula unit. For the density of states at the Fermi level, the calculation gives 0.374 states/eV per atom. The value obtained for the total DFT energy (no corrections) is -118.81 eV for the cell shown. The energy relative to the elements comes out at -0.515 eV per atom.

Lattice parameters (Å, degrees): 11.641 7.058 5.634 90.00 90.00 90.00
Space group Cmcm (No. 63)
Asymmetric unit:
Ga (0.000, 0.195, 0.250) (multiplicity 4)
Sn (0.177, 0.335, 0.750) (multiplicity 8)
Pd (0.000, 0.500, 0.000) (multiplicity 4)
Pd (0.142, 0.000, 0.000) (multiplicity 8)

=====

[2]
VASP calculation (GGA-PBE) on an optimized crystal structure of YTmThCd.

As for the total magnetic moment: 0.53 μB per formula unit. For the density of states at the Fermi level, the calculation gives 1.854 states/eV per atom. The value obtained for the total DFT energy (no corrections) is -76.59 eV for the cell shown. The energy relative to the elements comes out at 0.031 eV per atom.

Lattice parameters (Å, degrees): 7.739 7.739 7.739 90.00 90.00 90.00
Space group F-43m (No. 216)
Asymmetric unit:
Y (0.000, 0.000, 0.000) (multiplicity 4)
Tm (0.250, 0.250, 0.250) (multiplicity 4)
Th (0.000, 0.000, 0.500) (multiplicity 4)
Cd (0.250, 0.250, 0.750) (multiplicity 4)

=====

[3]
VASP calculation (GGA-PBE) on an optimized crystal structure of Nd2Sb3Pt4Rh.

The value obtained for the formation energy without anion corrections is -0.723 eV/atom. As for the total magnetic moment: 0.00 μB per formula unit. For the density of states at the Fermi level, the calculation gives 0.804 states/eV per atom. The value obtained for the total DFT energy (no corrections) is -60.65 eV for the cell shown.

Lattice parameters (Å, degrees): 4.427 4.427 11.095 90.00 90.00 90.00
Space group P-4m2 (No. 115)
Asymmetric unit:
Nd (0.000, 0.500, 0.244) (multiplicity 2)
Sb (0.000, 0.000, 0.000) (multiplicity 1)
Sb (0.000, 0.500, 0.633) (multiplicity 2)
Pt (0.000, 0.000, 0.500) (multiplicity 1)
Pt (0.000, 0.500, 0.863) (multiplicity 2)
Pt (0.500, 0.500, 0.500) (multiplicity 1)
Rh (0.500, 0.500, 0.000) (multiplicity 1)

=====

[4]
VASP calculation (GGA-PBE) on an optimized crystal structure of CaAc4S5.

The value obtained for the formation energy without anion corrections is -2.008 eV/atom. As for the total magnetic moment: 0.00 μB per formula unit. For the density of states at the Fermi level, the calculation gives 0.422 states/eV per atom. The value obtained for the total DFT energy (no corrections) is -118.31 eV for the cell shown.

Lattice parameters (Å, degrees): 9.518 9.518 6.050 90.00 90.00 90.00
Space group I4/m (No. 87)
Asymmetric unit:
Ca (0.000, 0.000, 0.000) (multiplicity 2)
Ac (0.098, 0.302, 0.500) (multiplicity 8)
S (0.000, 0.000, 0.500) (multiplicity 2)
S (0.098, 0.287, 0.000) (multiplicity 8)

=====

[5]
VASP calculation (GGA-PBE) on an optimized crystal structure of OsPd3Ru.

As for the total magnetic moment: 3.98 μB per formula unit. For the density of states at the Fermi level, the calculation gives 1.536 states/eV per atom. The value obtained for the total DFT energy (no corrections) is -26.01 eV for the cell shown. The energy relative to the elements comes out at 2.014 eV per atom.

Lattice parameters (Å, degrees): 4.699 4.699 4.699 90.00 90.00 90.00
Space group Pm-3m (No. 221)
Asymmetric unit:
Os (0.000, 0.000, 0.000) (multiplicity 1)
Pd (0.000, 0.500, 0.500) (multiplicity 3)
Ru (0.500, 0.500, 0.500) (multiplicity 1)

=====

[6]
VASP calculation (GGA-PBE) on an optimized crystal structure of PrYAgAu.

As for the total magnetic moment: 0.00 μB per formula unit. For the density of states at the Fermi level, the calculation gives 1.032 states/eV per atom. The value obtained for the total DFT energy (no corrections) is -77.98 eV for the cell shown. The energy relative to the elements comes out at -0.531 eV per atom.

Lattice parameters (Å, degrees): 7.392 7.392 7.392 90.00 90.00 90.00
Space group F-43m (No. 216)
Asymmetric unit:
Pr (0.000, 0.000, 0.000) (multiplicity 4)
Y (0.000, 0.000, 0.500) (multiplicity 4)
Ag (0.250, 0.250, 0.250) (multiplicity 4)
Au (0.250, 0.250, 0.750) (multiplicity 4)

=====

[7]
VASP calculation (GGA-PBE) on an optimized crystal structure of Te2IN2.

The value obtained for the formation energy without anion corrections is 1.421 eV/atom. As for the total magnetic moment: 0.00 μB per formula unit. For the density of states at the Fermi level, the calculation gives 0.692 states/eV per atom. The value obtained for the total DFT energy (no corrections) is -17.38 eV for the cell shown.

Lattice parameters (Å, degrees): 4.189 4.189 6.640 90.00 90.00 90.00
Space group P4/mmm (No. 123)
Asymmetric unit:
Te (0.000, 0.000, 0.000) (multiplicity 1)
Te (0.000, 0.000, 0.500) (multiplicity 1)
I (0.500, 0.500, 0.000) (multiplicity 1)
N (0.000, 0.500, 0.500) (multiplicity 2)

=====

[8]
VASP calculation (GGA-PBE) on an optimized crystal structure of ErGePt3.

As for the total magnetic moment: 0.00 μB per formula unit. For the density of states at the Fermi level, the calculation gives 0.362 states/eV per atom. The value obtained for the total DFT energy (no corrections) is -63.12 eV for the cell shown. The energy relative to the elements comes out at -0.852 eV per atom.

Lattice parameters (Å, degrees): 5.684 4.585 7.242 90.00 90.00 90.00
Space group Pmn2_1 (No. 31)
Asymmetric unit:
Er (0.000, 0.025, 0.000) (multiplicity 2)
Ge (0.000, 0.667, 0.540) (multiplicity 2)
Pt (0.000, 0.141, 0.404) (multiplicity 2)
Pt (0.243, 0.617, 0.234) (multiplicity 4)

=====

Question: Which value of total magnetic moment does entry 1 give?
Answer: 0.00 μB per formula unit

=====

Question: Among the records above, which one has the lowest density of states at the Fermi level?
Answer: ErGePt3

=====

Question: What is the formula in the fourth record?
Answer: CaAc4S5